A plane-wave DFT calculation with PBE was carried out for a relaxed structure of Pm3Ho4Tm3.

Properties
For the energy of formation from the pure elements, the calculation gives 0.10 eV per atom. As for the density: 8.280 Mg/m³.

Unit cell a=3.671 b=13.191 c=13.263 alpha=90.00 beta=90.00 gamma=90.00
Space group Amm2 (No. 38)
One atom of each set of equivalent atoms:
Pm: 0.000 0.000 0.000
Pm: 0.000 0.173 0.672
Ho: 0.500 0.000 0.545
Ho: 0.500 0.000 0.799
Ho: 0.500 0.125 0.175
Tm: 0.000 0.000 0.346
Tm: 0.500 0.246 0.421